Record 1
A relaxed structure of TlTeOs2. Source: Alexandria, functional GGA-PBE.

Geometry as CIF:
```
data_TlTeOs2
_cell_length_a 4.566
_cell_length_b 4.566
_cell_length_c 7.044
_cell_angle_alpha 97.50
_cell_angle_beta 97.50
_cell_angle_gamma 39.22
_symmetry_space_group_name_H-M 'P 1'
_symmetry_Int_Tables_number 1
loop_
_symmetry_equiv_pos_as_xyz
'x,y,z'
loop_
_atom_site_label
_atom_site_type_symbol
_atom_site_fract_x
_atom_site_fract_y
_atom_site_fract_z
Tl1 Tl 0.000 0.000 0.000
Te1 Te 0.217 0.217 0.589
Os1 Os 0.488 0.488 0.380
Os2 Os 0.752 0.752 0.262
```

Results
The calculation puts the calculated volume at 92.0 Å³/cell. The value obtained for the uncorrected energy is -6.24 eV/atom. Its symmetry is No. 8.

---

Record 2
A relaxed structure of TlTe4Os. Source: Alexandria, functional GGA-PBE.

Geometry as CIF:
```
data_TlTe4Os
_cell_length_a 6.356
_cell_length_b 6.356
_cell_length_c 6.356
_cell_angle_alpha 60.00
_cell_angle_beta 60.00
_cell_angle_gamma 60.00
_symmetry_space_group_name_H-M 'P 1'
_symmetry_Int_Tables_number 1
loop_
_symmetry_equiv_pos_as_xyz
'x,y,z'
loop_
_atom_site_label
_atom_site_type_symbol
_atom_site_fract_x
_atom_site_fract_y
_atom_site_fract_z
Tl1 Tl 0.000 0.000 0.000
Te1 Te 0.376 0.376 0.376
Te2 Te 0.376 0.376 0.871
Te3 Te 0.376 0.871 0.376
Te4 Te 0.871 0.376 0.376
Os1 Os 0.750 0.750 0.750
```

Results
The calculation puts the calculated volume at 181.6 Å³/cell. The value obtained for the uncorrected energy is -3.20 eV/atom. Its symmetry is No. 216.

---

Please write out number 2 again, unchanged.
A relaxed structure of TlTe4Os. Source: Alexandria, functional GGA-PBE.

Geometry as CIF:
```
data_TlTe4Os
_cell_length_a 6.356
_cell_length_b 6.356
_cell_length_c 6.356
_cell_angle_alpha 60.00
_cell_angle_beta 60.00
_cell_angle_gamma 60.00
_symmetry_space_group_name_H-M 'P 1'
_symmetry_Int_Tables_number 1
loop_
_symmetry_equiv_pos_as_xyz
'x,y,z'
loop_
_atom_site_label
_atom_site_type_symbol
_atom_site_fract_x
_atom_site_fract_y
_atom_site_fract_z
Tl1 Tl 0.000 0.000 0.000
Te1 Te 0.376 0.376 0.376
Te2 Te 0.376 0.376 0.871
Te3 Te 0.376 0.871 0.376
Te4 Te 0.871 0.376 0.376
Os1 Os 0.750 0.750 0.750
```

Results
The calculation puts the calculated volume at 181.6 Å³/cell. The value obtained for the uncorrected energy is -3.20 eV/atom. Its symmetry is No. 216.

---

> Look up the calculated volume of the first one.

92.0 Å³/cell